[1]
Here is a geometry-optimized KNa2AgHg4 structure from the Alexandria database. Energies are from PBE-GGA.

Results
**Symmetry**: R-3m, No. 166

a b c (Å): 5.2044 5.2044 10.0346
angles (deg): 74.97 74.97 60.00
Closest atoms and distances in Å follow each position.
Sites, in units of the cell vectors:
Hg 0.8739 0.8739 0.3784  4 Na 3.10-3.11, 3 Ag 3.22
Hg 0.1261 0.1261 0.6216  4 Na 3.10-3.11, 3 Ag 3.22
Hg 0.3980 0.3980 0.8060  1 Ag 2.93, 3 Na 3.16
Hg 0.6020 0.6020 0.1940  1 Ag 2.93, 3 Na 3.16
Na 0.7657 0.7657 0.7028  7 Hg 3.10-3.16
Na 0.2343 0.2343 0.2972  7 Hg 3.10-3.16
Ag 0.5000 0.5000 0.5000  8 Hg 2.93-3.22
K 0.0000 0.0000 0.0000  8 Hg 3.53-3.62

[2]
Here is a geometry-optimized CsAlTl3 structure from the Alexandria database. Energies are from PBE-GGA.

Results
**Symmetry**: Pm-3m, No. 221
**Energy relative to the lowest polymorph listed for this composition**: 0.0000 eV per atom

a b c (Å): 5.6961 5.6961 5.6961
angles (deg): 90.00 90.00 90.00
Closest atoms and distances in Å follow each position.
Sites, in units of the cell vectors:
Tl 0.0000 0.0000 0.5000  2 Al 2.85
Tl 0.5000 0.0000 0.0000  2 Al 2.85
Tl 0.0000 0.5000 0.0000  2 Al 2.85
Al 0.0000 0.0000 0.0000  6 Tl 2.85
Cs 0.5000 0.5000 0.5000  12 Tl 4.03

[3]
Here is a geometry-optimized CeDyAlOs structure from the Alexandria database. Energies are from PBE-GGA.

Results
**Symmetry**: F-43m, No. 216

a b c (Å): 4.9812 4.9812 4.9812
angles (deg): 60.00 60.00 60.00
Closest atoms and distances in Å follow each position.
Sites, in units of the cell vectors:
Al 0.5000 0.5000 0.5000  4 Dy 3.05, 4 Ce 3.05
Os 0.0000 0.0000 0.0000  4 Dy 3.05, 4 Ce 3.05
Ce 0.2500 0.2500 0.2500  4 Os 3.05, 4 Al 3.05
Dy 0.7500 0.7500 0.7500  4 Al 3.05, 4 Os 3.05

[4]
Here is a geometry-optimized ZrCd2Ge structure from the Alexandria database. Energies are from PBE-GGA.

Results
**Symmetry**: I-42d, No. 122

a b c (Å): 7.9951 7.9951 6.2986
angles (deg): 50.60 50.60 90.00
Closest atoms and distances in Å follow each position.
Sites, in units of the cell vectors:
Cd 0.5923 0.1250 0.2500  2 Ge 2.74, 2 Cd 2.83
Cd 0.1577 0.6250 0.2500  2 Ge 2.74, 2 Cd 2.83
Cd 0.3750 0.4077 0.7500  2 Ge 2.74, 2 Cd 2.83
Cd 0.8750 0.8423 0.7500  2 Ge 2.74, 2 Cd 2.83
Ge 0.2500 0.7500 0.5000  4 Cd 2.74, 2 Zr 2.78
Ge 0.5000 0.5000 0.0000  4 Cd 2.74, 2 Zr 2.78
Zr 0.7500 0.2500 0.5000  2 Ge 2.78, 4 Cd 3.10
Zr 0.0000 0.0000 0.0000  2 Ge 2.78, 4 Cd 3.10

[5]
Here is a geometry-optimized MgPt2Au6 structure from the Alexandria database. Energies are from PBE-GGA.

Results
**Symmetry**: C2/c, No. 15

a b c (Å): 7.1835 7.5335 7.1835
angles (deg): 65.42 88.08 65.42
Closest atoms and distances in Å follow each position.
Sites, in units of the cell vectors:
Au 0.9041 0.1431 0.6461  2 Pt 2.80-2.90, 7 Au 2.83-2.93, 1 Mg 2.87
Au 0.0959 0.8569 0.3539  2 Pt 2.80-2.90, 7 Au 2.83-2.93, 1 Mg 2.87
Au 0.9926 0.3100 0.2229  1 Pt 2.83, 7 Au 2.83-2.96, 2 Mg 2.83-2.95
Au 0.5687 0.4760 0.3220  7 Au 2.82-2.96, 3 Pt 2.83-2.91
Au 0.6461 0.6431 0.9041  2 Pt 2.80-2.90, 7 Au 2.83-2.93, 1 Mg 2.87
Au 0.4313 0.5240 0.6780  7 Au 2.82-2.96, 3 Pt 2.83-2.91
Au 0.6780 0.0240 0.4313  7 Au 2.82-2.96, 3 Pt 2.83-2.91
Au 0.2229 0.8100 0.9926  1 Pt 2.83, 7 Au 2.83-2.96, 2 Mg 2.83-2.95
Au 0.3220 0.9760 0.5687  7 Au 2.82-2.96, 3 Pt 2.83-2.91
Au 0.7771 0.1900 0.0074  1 Pt 2.83, 7 Au 2.83-2.96, 2 Mg 2.83-2.95
Au 0.3539 0.3569 0.0959  2 Pt 2.80-2.90, 7 Au 2.83-2.93, 1 Mg 2.87
Au 0.0074 0.6900 0.7771  1 Pt 2.83, 7 Au 2.83-2.96, 2 Mg 2.83-2.95
Pt 0.5476 0.0780 0.8006  2 Mg 2.74-2.80, 2 Pt 2.79-2.98, 6 Au 2.80-2.91
Pt 0.4524 0.9220 0.1994  2 Mg 2.74-2.80, 2 Pt 2.79-2.98, 6 Au 2.80-2.91
Pt 0.8006 0.5780 0.5476  2 Mg 2.74-2.80, 2 Pt 2.79-2.98, 6 Au 2.80-2.91
Pt 0.1994 0.4220 0.4524  2 Mg 2.74-2.80, 2 Pt 2.79-2.98, 6 Au 2.80-2.91
Mg 0.1433 0.2500 0.8567  4 Pt 2.74-2.80, 6 Au 2.83-2.95
Mg 0.8567 0.7500 0.1433  4 Pt 2.74-2.80, 6 Au 2.83-2.95

[6]
Here is a geometry-optimized LaSc2Sb structure from the Alexandria database. Energies are from PBE-GGA.

Results
**Symmetry**: F-43m, No. 216
**Formation energy without anion corrections**: -0.27 eV per atom

a b c (Å): 5.2891 5.2891 5.2891
angles (deg): 60.00 60.00 60.00
Closest atoms and distances in Å follow each position.
Sites, in units of the cell vectors:
Sb 0.7500 0.7500 0.7500  4 Sc 3.24, 4 La 3.24
Sc 0.2500 0.2500 0.2500  4 La 3.24, 4 Sc 3.24
Sc 0.0000 0.0000 0.0000  4 Sc 3.24, 4 Sb 3.24
La 0.5000 0.5000 0.5000  4 Sb 3.24, 4 Sc 3.24

[7]
Here is a geometry-optimized GdHoBeCu structure from the Alexandria database. Energies are from PBE-GGA.

Results
**Symmetry**: F-43m, No. 216

a b c (Å): 4.8830 4.8830 4.8830
angles (deg): 60.00 60.00 60.00
Closest atoms and distances in Å follow each position.
Sites, in units of the cell vectors:
Be 0.2500 0.2500 0.2500  4 Gd 2.99, 4 Ho 2.99
Cu 0.7500 0.7500 0.7500  4 Ho 2.99, 4 Gd 2.99
Gd 0.0000 0.0000 0.0000  4 Cu 2.99, 4 Be 2.99
Ho 0.5000 0.5000 0.5000  4 Be 2.99, 4 Cu 2.99

[8]
Here is a geometry-optimized Tb3ThTc structure from the Alexandria database. Energies are from PBE-GGA.

Results
**Symmetry**: Cm, No. 8

a b c (Å): 3.9367 6.3161 12.2116
angles (deg): 83.29 80.72 71.84
Closest atoms and distances in Å follow each position.
Sites, in units of the cell vectors:
Tb 0.1031 0.1702 0.6236  2 Tc 2.96
Tb 0.7954 0.0243 0.3849  1 Tc 3.40, 3 Th 3.45-3.56, 6 Tb 3.51-3.64
Tb 0.4328 0.6090 0.5253  1 Tc 3.08, 2 Tb 3.43
Tb 0.4529 0.9451 0.1492  2 Tc 3.04
Tb 0.9870 0.1248 0.9012  3 Tc 2.95-3.19
Tb 0.7588 0.7236 0.7589  2 Tc 2.82
Tc 0.4243 0.3875 0.7640  7 Tb 2.82-3.08, 1 Th 3.10
Tc 0.7649 0.3330 0.1373  4 Th 2.80-2.90, 2 Tb 3.04
Th 0.2254 0.5462 0.0031  3 Tc 2.80-3.10
Th 0.1163 0.4733 0.2941  2 Tc 2.90

| no. | total DFT energy (no corrections) (Ry per atom) |
| --- | --- |
| 1 | -0.0833 |
| 2 | -0.1628 |
| 3 | -0.4833 |
| 4 | -0.2728 |
| 5 | -0.2827 |
| 6 | -0.4186 |
| 7 | -0.4903 |
| 8 | -0.4703 |